No. 1
DFT (PBE-GGA) results for a relaxed ZrAl2Cd crystal.

```
ZrAl2Cd
1.0
4.021 0.000 0.000
0.000 6.807 0.000
-2.005 0.000 5.734
Zr Al Cd
2 4 2
Cartesian
-0.003 1.702 0.576
2.018 5.106 5.158
0.005 0.392 4.518
0.005 3.012 4.518
2.011 3.796 1.216
2.011 6.415 1.216
-0.001 5.106 2.672
2.017 1.702 3.062
```

Properties
The calculation puts the total energy at -4.446 eV per atom. Its symmetry is No. 11. As for the total magnetization: 0.0 μB per cell.

***

No. 2
DFT (PBE-GGA) results for a relaxed Zr2AlCd crystal.

```
Zr2AlCd
1.0
5.211 -1.561 0.000
5.211 1.561 0.000
-1.024 0.000 5.223
Zr Al Cd
2 1 1
Cartesian
2.331 0.000 1.250
7.066 0.000 3.973
5.211 0.000 0.000
-0.512 0.000 2.611
```

Properties
The calculation puts the total energy at -5.522 eV per atom. Its symmetry is No. 12. As for the total magnetization: 0.0 μB per cell.

***

No. 3
DFT (PBE-GGA) results for a relaxed ZrAl2Cd crystal.

```
ZrAl2Cd
1.0
-3.752 3.752 2.952
3.752 -3.752 2.952
3.752 3.752 -2.952
Zr Al Cd
2 4 2
Cartesian
0.000 0.000 0.000
0.000 3.752 1.476
1.876 -1.718 2.214
2.033 1.876 0.738
1.876 5.470 -0.738
1.718 1.876 3.690
3.752 0.000 1.476
0.000 0.000 2.952
```

Properties
The calculation puts the total energy at -4.128 eV per atom. Its symmetry is No. 122. As for the total magnetization: 0.0 μB per cell.

***

No. 4
DFT (PBE-GGA) results for a relaxed Zr5Al3Cd crystal.

```
Zr5Al3Cd
1.0
8.530 0.000 0.000
-4.265 7.387 0.000
0.000 0.000 5.845
Zr Al Cd
10 6 2
Cartesian
-1.346 2.332 1.461
-2.919 5.055 4.384
2.692 0.000 1.461
1.346 2.332 4.384
0.000 4.925 0.000
0.000 4.925 2.922
4.265 2.462 0.000
4.265 2.462 2.922
5.837 0.000 4.384
2.919 5.055 1.461
-1.513 2.621 4.384
-2.752 4.766 1.461
3.026 0.000 4.384
1.513 2.621 1.461
5.503 0.000 1.461
2.752 4.766 4.384
0.000 0.000 0.000
0.000 0.000 2.922
```

Properties
The calculation puts the total energy at -6.455 eV per atom. Its symmetry is No. 193. As for the total magnetization: 0.0 μB per cell.

***

No. 5
DFT (PBE-GGA) results for a relaxed ZrAlCd2 crystal.

```
ZrAlCd2
1.0
-2.179 2.179 4.368
2.179 -2.179 4.368
2.179 2.179 -4.368
Zr Al Cd
1 1 2
Cartesian
0.000 0.000 0.000
2.179 0.000 2.184
0.000 0.000 4.368
0.000 2.179 2.184
```

Properties
The calculation puts the total energy at -3.529 eV per atom. Its symmetry is No. 119. As for the total magnetization: 0.0 μB per cell.

***

No. 6
DFT (PBE-GGA) results for a relaxed Zr2AlCd2 crystal.

```
Zr2AlCd2
1.0
1.521 -11.459 0.000
1.521 11.459 0.000
0.000 0.000 3.041
Zr Al Cd
2 1 2
Cartesian
1.521 9.446 0.000
1.521 -9.446 0.000
1.521 0.000 1.521
1.521 4.404 1.521
1.521 -4.404 1.521
```

Properties
The calculation puts the total energy at -4.771 eV per atom. Its symmetry is No. 65. As for the total magnetization: 0.0 μB per cell.

***

No. 7
DFT (PBE-GGA) results for a relaxed Zr2AlCd crystal.

```
Zr2AlCd
1.0
-2.101 2.101 4.717
2.101 -2.101 4.717
2.101 2.101 -4.717
Zr Al Cd
2 1 1
Cartesian
0.000 0.000 0.000
0.000 2.101 2.359
2.101 0.000 2.359
0.000 0.000 4.717
```

Properties
The calculation puts the total energy at -5.619 eV per atom. Its symmetry is No. 119. As for the total magnetization: 0.0 μB per cell.

***

No. 8
DFT (PBE-GGA) results for a relaxed ZrAl2Cd crystal.

```
ZrAl2Cd
1.0
-2.033 2.033 4.635
2.033 -2.033 4.635
2.033 2.033 -4.635
Zr Al Cd
1 2 1
Cartesian
0.000 0.000 0.000
0.000 0.000 4.635
0.000 2.033 2.317
2.033 0.000 2.317
```

Properties
The calculation puts the total energy at -4.459 eV per atom. Its symmetry is No. 119. As for the total magnetization: 0.0 μB per cell.

***

No. 9
DFT (PBE-GGA) results for a relaxed Zr2AlCd2 crystal.

```
Zr2AlCd2
1.0
7.348 0.000 0.000
0.000 7.348 0.000
0.000 0.000 4.293
Zr Al Cd
4 2 4
Cartesian
1.080 2.594 0.000
2.594 6.268 0.000
4.754 1.080 0.000
6.268 4.754 0.000
0.000 0.000 0.000
3.674 3.674 0.000
1.137 4.811 2.147
2.537 1.137 2.147
4.811 6.211 2.147
6.211 2.537 2.147
```

Properties
The calculation puts the total energy at -4.373 eV per atom. Its symmetry is No. 127. As for the total magnetization: 1.6 μB per cell.

***

No. 10
DFT (PBE-GGA) results for a relaxed ZrAlCd2 crystal.

```
ZrAlCd2
1.0
4.229 0.000 0.000
0.000 4.229 0.000
0.000 0.000 4.498
Zr Al Cd
1 1 2
Cartesian
0.000 0.000 0.000
2.114 2.114 0.000
0.000 2.114 2.249
2.114 0.000 2.249
```

Properties
The calculation puts the total energy at -3.764 eV per atom. Its symmetry is No. 123. As for the total magnetization: 0.0 μB per cell.

***

No. 11
DFT (PBE-GGA) results for a relaxed ZrAlCd2 crystal.

```
ZrAlCd2
1.0
5.290 0.000 0.000
0.000 3.015 0.000
-1.949 0.000 5.228
Zr Al Cd
1 1 2
Cartesian
0.000 0.000 0.000
2.645 1.508 0.000
-0.974 1.508 2.614
1.671 0.000 2.614
```

Properties
The calculation puts the total energy at -3.634 eV per atom. Its symmetry is No. 10. As for the total magnetization: 0.0 μB per cell.

***

No. 12
DFT (PBE-GGA) results for a relaxed ZrAl2Cd crystal.

```
ZrAl2Cd
1.0
3.059 0.000 0.000
0.000 4.617 0.000
0.000 0.000 5.593
Zr Al Cd
1 2 1
Cartesian
0.000 0.000 0.000
1.530 0.000 2.933
1.530 2.309 4.380
1.530 2.309 1.489
```

Properties
The calculation puts the total energy at -4.396 eV per atom. Its symmetry is No. 25. As for the total magnetization: 0.0 μB per cell.

***

Per-record DFT formation energy, eV per atom: -0.21, -0.08, 0.11, -0.36, 0.00, -0.24, -0.18, -0.22, 0.16, -0.23, -0.10, -0.16